VASP calculation (meta-GGA SCAN) on a PBEsol-optimized structure of OsW3.

Summary:
Its crystal system is cubic. For the energy of formation from the pure elements, the calculation gives 0.7 eV/f.u.

The structure in CIF format:
```
data_OsW3
_chemical_formula_sum 'Os4 W12'
_cell_length_a 6.255
_cell_length_b 6.255
_cell_length_c 6.255
_cell_angle_alpha 90.00
_cell_angle_beta 90.00
_cell_angle_gamma 90.00
_space_group_name_H-M_alt 'F m -3 m'
_space_group_IT_number 225
_space_group_name_Hall '-F 4 2 3'
loop_
_atom_site_label
_atom_site_fract_x
_atom_site_fract_y
_atom_site_fract_z
Os1 0.000 0.000 0.000
W1 0.000 0.000 0.500
W2 0.250 0.250 0.250
```

***

VASP calculation (meta-GGA SCAN) on a PBEsol-optimized structure of Os3W.

Summary:
Its crystal system is orthorhombic. For the energy of formation from the pure elements, the calculation gives -0.1 eV/f.u.

The structure in CIF format:
```
data_Os3W
_chemical_formula_sum 'Os3 W1'
_cell_length_a 2.763
_cell_length_b 4.375
_cell_length_c 4.755
_cell_angle_alpha 90.00
_cell_angle_beta 90.00
_cell_angle_gamma 90.00
_space_group_name_H-M_alt 'P m m 2'
_space_group_IT_number 25
loop_
_space_group_symop_operation_xyz
'x,y,z'
'-x,-y,z'
'-x,y,z'
'x,-y,z'
loop_
_atom_site_label
_atom_site_fract_x
_atom_site_fract_y
_atom_site_fract_z
Os1 0.000 0.000 0.000
Os2 0.000 0.500 0.338
Os3 0.500 0.000 0.495
W1 0.500 0.500 0.832
```

***

VASP calculation (meta-GGA SCAN) on a PBEsol-optimized structure of Os3W.

Summary:
Its crystal system is cubic. For the energy of formation from the pure elements, the calculation gives 0.0 eV/f.u.

The structure in CIF format:
```
data_Os3W
_chemical_formula_sum 'Os3 W1'
_cell_length_a 3.858
_cell_length_b 3.858
_cell_length_c 3.858
_cell_angle_alpha 90.00
_cell_angle_beta 90.00
_cell_angle_gamma 90.00
_space_group_name_H-M_alt 'P m -3 m'
_space_group_IT_number 221
_space_group_name_Hall '-P 4 2 3'
loop_
_atom_site_label
_atom_site_fract_x
_atom_site_fract_y
_atom_site_fract_z
Os1 0.000 0.000 0.500
W1 0.500 0.500 0.500
```

***

VASP calculation (meta-GGA SCAN) on a PBEsol-optimized structure of Os3W.

Summary:
Its crystal system is orthorhombic. For the energy of formation from the pure elements, the calculation gives -0.1 eV/f.u.

The structure in CIF format:
```
data_Os3W
_chemical_formula_sum 'Os6 W2'
_cell_length_a 2.752
_cell_length_b 8.736
_cell_length_c 4.769
_cell_angle_alpha 90.00
_cell_angle_beta 90.00
_cell_angle_gamma 90.00
_space_group_name_H-M_alt 'I m m 2'
_space_group_IT_number 44
loop_
_space_group_symop_operation_xyz
'x,y,z'
'-x,-y,z'
'-x,y,z'
'x,-y,z'
'x+1/2,y+1/2,z+1/2'
'-x+1/2,-y+1/2,z+1/2'
'-x+1/2,y+1/2,z+1/2'
'x+1/2,-y+1/2,z+1/2'
loop_
_atom_site_label
_atom_site_fract_x
_atom_site_fract_y
_atom_site_fract_z
Os1 0.000 0.000 0.000
Os2 0.000 0.252 0.667
W1 0.000 0.500 0.997
```

***

VASP calculation (meta-GGA SCAN) on a PBEsol-optimized structure of YOsW2.

Summary:
The energy above the most stable polymorph in this dataset is 0 meV per atom. Its crystal system is tetragonal. For the energy of formation from the pure elements, the calculation gives 0.9 eV/f.u.

The structure in CIF format:
```
data_YOsW2
_chemical_formula_sum 'Y1 Os1 W2'
_cell_length_a 3.176
_cell_length_b 3.176
_cell_length_c 6.939
_cell_angle_alpha 90.00
_cell_angle_beta 90.00
_cell_angle_gamma 90.00
_space_group_name_H-M_alt 'P 4 m m'
_space_group_IT_number 99
loop_
_space_group_symop_operation_xyz
'x,y,z'
'-y,x,z'
'-x,-y,z'
'y,-x,z'
'-x,y,z'
'y,x,z'
'x,-y,z'
'-y,-x,z'
loop_
_atom_site_label
_atom_site_fract_x
_atom_site_fract_y
_atom_site_fract_z
Y1 0.000 0.000 0.000
Os1 0.500 0.500 0.282
W1 0.000 0.000 0.496
W2 0.500 0.500 0.711
```

***

VASP calculation (meta-GGA SCAN) on a PBEsol-optimized structure of YOsW.

Summary:
Its crystal system is trigonal. For the energy of formation from the pure elements, the calculation gives 1.0 eV/f.u.

The structure in CIF format:
```
data_YOsW
_chemical_formula_sum 'Y1 Os1 W1'
_cell_length_a 4.4622
_cell_length_b 4.4622
_cell_length_c 3.2370
_cell_angle_alpha 90.00
_cell_angle_beta 90.00
_cell_angle_gamma 120.00
_space_group_name_H-M_alt 'P 3 m 1'
_space_group_IT_number 156
loop_
_space_group_symop_operation_xyz
'x,y,z'
'-y,x-y,z'
'-x+y,-x,z'
'-y,-x,z'
'-x+y,y,z'
'x,x-y,z'
loop_
_atom_site_label
_atom_site_fract_x
_atom_site_fract_y
_atom_site_fract_z
Y1 0.0000 0.0000 0.0000
Os1 0.3333 0.6667 0.4312
W1 0.6667 0.3333 0.5652
```

***

VASP calculation (meta-GGA SCAN) on a PBEsol-optimized structure of YOsW2.

Summary:
The energy above the most stable polymorph in this dataset is 224 meV per atom. Its crystal system is monoclinic. For the energy of formation from the pure elements, the calculation gives 1.8 eV/f.u.

The structure in CIF format:
```
data_YOsW2
_chemical_formula_sum 'Y1 Os1 W2'
_cell_length_a 2.852
_cell_length_b 4.566
_cell_length_c 5.297
_cell_angle_alpha 90.00
_cell_angle_beta 101.41
_cell_angle_gamma 90.00
_space_group_name_H-M_alt 'P 1 2/m 1'
_space_group_IT_number 10
loop_
_space_group_symop_operation_xyz
'x,y,z'
'-x,-y,-z'
'-x,y,-z'
'x,-y,z'
loop_
_atom_site_label
_atom_site_fract_x
_atom_site_fract_y
_atom_site_fract_z
Y1 0.000 0.000 0.000
Os1 0.500 0.000 0.500
W1 0.261 0.500 0.742
```

***

VASP calculation (meta-GGA SCAN) on a PBEsol-optimized structure of YOsW2.

Summary:
The energy above the most stable polymorph in this dataset is 338 meV per atom. Its crystal system is tetragonal. For the energy of formation from the pure elements, the calculation gives 2.2 eV/f.u.

The structure in CIF format:
```
data_YOsW2
_chemical_formula_sum 'Y2 Os2 W4'
_cell_length_a 3.844
_cell_length_b 3.844
_cell_length_c 9.448
_cell_angle_alpha 90.00
_cell_angle_beta 90.00
_cell_angle_gamma 90.00
_space_group_name_H-M_alt 'I 4/m m m'
_space_group_IT_number 139
_space_group_name_Hall '-I 4 2'
loop_
_atom_site_label
_atom_site_fract_x
_atom_site_fract_y
_atom_site_fract_z
Y1 0.000 0.000 0.000
Os1 0.000 0.000 0.500
W1 0.000 0.500 0.250
```

***

> Which value of energy of formation from the pure elements does entry 2 give?

-0.1 eV/f.u.